Record 1
## K4MnSi (PBE)

Data for a relaxed K4MnSi crystal.

The calculation puts the volume at 236.32 Å³ per cell. The space group is No. 216. The value obtained for the total energy is -2.241 eV per atom. The total moment is 4.9 μB/f.u.

The structure in POSCAR format:
```
K4MnSi
1.0
0.0000 4.9071 4.9071
4.9071 0.0000 4.9071
4.9071 4.9071 0.0000
K Mn Si
4 1 1
Cartesian
3.6688 6.1454 6.1454
6.1454 6.1454 3.6688
6.1454 3.6688 6.1454
3.6688 3.6688 3.6688
7.3607 7.3607 7.3607
0.0000 0.0000 0.0000
```



Record 2
## KMn2Si (PBE)

Data for a relaxed KMn2Si crystal.

The calculation puts the volume at 79.66 Å³ per cell. The space group is No. 123. The total moment is 7.9 μB/f.u. The value obtained for the energy above the most stable polymorph in this dataset is 0.6732 eV per atom.

The structure in POSCAR format:
```
KMn2Si
1.0
3.9768 0.0000 0.0000
0.0000 4.4756 0.0000
0.0000 0.0000 4.4756
K Mn Si
1 2 1
Cartesian
1.9884 0.0000 2.2378
0.0000 0.0000 0.0000
0.0000 2.2378 2.2378
1.9884 2.2378 0.0000
```



Record 3
## KMn2Si (PBE)

Data for a relaxed KMn2Si crystal.

The calculation puts the volume at 81.17 Å³ per cell. The space group is No. 216. The total moment is 8.3 μB/f.u. The value obtained for the energy above the most stable polymorph in this dataset is 0.6793 eV per atom.

The structure in POSCAR format:
```
KMn2Si
1.0
-0.1547 4.6685 1.3422
-0.6674 1.1648 4.6710
3.6530 1.9108 2.5739
K Mn Si
1 2 1
Cartesian
1.4155 3.8720 4.2935
0.0000 0.0000 0.0000
0.7077 1.9360 2.1468
2.1232 5.8081 6.4403
```



Record 4
## KMn2Si (PBE)

Data for a relaxed KMn2Si crystal.

The calculation puts the volume at 73.08 Å³ per cell. The space group is No. 47. The total moment is 0.2 μB/f.u. The value obtained for the energy above the most stable polymorph in this dataset is 0.2784 eV per atom.

The structure in POSCAR format:
```
KMn2Si
1.0
-0.6739 -2.2239 -1.4120
2.7136 -1.9211 1.7306
-4.6158 -1.8751 5.1563
K Mn Si
1 2 1
Cartesian
-2.4420 -3.4788 4.0265
-0.5324 -0.2163 0.5947
-1.7755 -0.7212 1.9834
-0.1341 -2.5413 1.4484
```



Record 5
## KMn2Si (PBE)

Data for a relaxed KMn2Si crystal.

The calculation puts the volume at 74.59 Å³ per cell. The space group is No. 225. The total moment is 8.0 μB/f.u. The value obtained for the energy above the most stable polymorph in this dataset is 0.5858 eV per atom.

The structure in POSCAR format:
```
KMn2Si
1.0
0.4059 -4.4222 -1.6139
-3.7568 -2.8657 -0.0091
-2.0318 -1.2188 -4.0880
K Mn Si
1 2 1
Cartesian
-2.6913 -4.2534 -2.8555
-1.3457 -2.1267 -1.4278
-4.0370 -6.3801 -4.2833
0.0000 0.0000 0.0000
```



Record 6
## KMn2Si2 (PBE)

Data for a relaxed KMn2Si2 crystal.

The calculation puts the volume at 103.60 Å³ per cell. The space group is No. 139. The value obtained for the total energy is -6.007 eV per atom. The total moment is 4.5 μB/f.u.

The structure in POSCAR format:
```
KMn2Si2
1.0
-3.1935 0.4713 2.4112
0.6942 -3.6201 1.6271
2.4829 1.1261 6.4348
K Mn Si
1 2 2
Cartesian
0.0000 0.0000 0.0000
-0.9801 0.0115 5.4325
0.9638 -2.0342 5.0405
-0.0821 -0.7297 3.4003
0.0658 -1.2930 7.0727
```